Entry 1:
A plane-wave DFT calculation with PBE was carried out for crystalline Rb2PmGaCl6 at its relaxed geometry.

Lattice parameters (Å, degrees): 7.886 7.886 7.916 60.13 60.13 60.00
Fractional positions:
1 Rb 0.545 0.545 0.366
2 Rb 0.040 0.040 0.880
3 Pm 0.319 0.319 0.044
4 Ga 0.814 0.814 0.557
5 Cl 0.566 0.166 0.269
6 Cl 0.166 0.999 0.269
7 Cl 0.999 0.566 0.269
8 Cl 0.470 0.642 0.787
9 Cl 0.642 0.100 0.787
10 Cl 0.100 0.470 0.787

Computed properties:
The calculation puts the total energy at -3.944 eV/atom. Its space-group type is R3 (146). The energy relative to the elements, uncorrected comes out at -1.86 eV per atom.

---

Entry 2:
A plane-wave DFT calculation with PBE was carried out for crystalline Pm4GaRhCl2 at its relaxed geometry.

Lattice parameters (Å, degrees): 3.987 7.646 7.537 71.07 90.00 90.00
Fractional positions:
1 Pm 0.000 0.712 0.762
2 Pm 0.000 0.288 0.238
3 Pm 0.500 0.724 0.231
4 Pm 0.500 0.276 0.769
5 Ga 0.000 0.500 0.500
6 Rh 0.500 0.500 0.000
7 Cl 0.000 0.000 0.000
8 Cl 0.500 0.000 0.500

Computed properties:
The calculation puts the total energy at -5.181 eV/atom. Its space-group type is P2/m (10). The energy relative to the elements, uncorrected comes out at -1.05 eV per atom.

---

Entry 3:
A plane-wave DFT calculation with PBE was carried out for crystalline Pm6GaRu2Cl3 at its relaxed geometry.

Lattice parameters (Å, degrees): 7.123 7.123 7.853 98.60 98.60 120.25
Fractional positions:
1 Pm 0.933 0.575 0.791
2 Pm 0.714 0.714 0.212
3 Pm 0.067 0.425 0.209
4 Pm 0.575 0.933 0.791
5 Pm 0.286 0.286 0.788
6 Pm 0.425 0.067 0.209
7 Ga 0.000 0.000 0.000
8 Ru 0.335 0.665 0.000
9 Ru 0.665 0.335 0.000
10 Cl 0.170 0.830 0.500
11 Cl 0.830 0.170 0.500
12 Cl 0.500 0.500 0.500

Computed properties:
The calculation puts the total energy at -5.567 eV/atom. Its space-group type is C2/m (12). The energy relative to the elements, uncorrected comes out at -0.93 eV per atom.

---

Entry 4:
A plane-wave DFT calculation with PBE was carried out for crystalline Pm3GaSCl at its relaxed geometry.

Lattice parameters (Å, degrees): 3.959 7.741 11.319 112.89 90.00 90.00
Fractional positions:
1 Pm 0.250 0.718 0.508
2 Pm 0.750 0.972 0.145
3 Pm 0.750 0.480 0.161
4 Pm 0.750 0.282 0.492
5 Pm 0.250 0.520 0.839
6 Pm 0.250 0.028 0.855
7 Ga 0.750 0.691 0.705
8 Ga 0.250 0.309 0.295
9 S 0.250 0.702 0.106
10 S 0.750 0.298 0.894
11 Cl 0.250 0.148 0.625
12 Cl 0.750 0.852 0.375

Computed properties:
The calculation puts the total energy at -5.188 eV/atom. Its space-group type is P2_1/m (11). The energy relative to the elements, uncorrected comes out at -1.31 eV per atom.

---

Entry 5:
A plane-wave DFT calculation with PBE was carried out for crystalline Pm4GaS2Cl at its relaxed geometry.

Lattice parameters (Å, degrees): 5.780 5.780 7.156 113.82 113.82 90.00
Fractional positions:
1 Pm 0.937 0.437 0.000
2 Pm 0.437 0.937 0.000
3 Pm 0.183 0.183 0.492
4 Pm 0.691 0.691 0.508
5 Ga 0.937 0.937 0.000
6 S 0.187 0.687 0.500
7 S 0.687 0.187 0.500
8 Cl 0.437 0.437 0.000

Computed properties:
The calculation puts the total energy at -5.572 eV/atom. Its space-group type is I4/mmm (139). The energy relative to the elements, uncorrected comes out at -1.56 eV per atom.

---

Entry 6:
A plane-wave DFT calculation with PBE was carried out for crystalline Pm4GaSe2Cl at its relaxed geometry.

Lattice parameters (Å, degrees): 4.171 7.322 7.297 108.92 90.00 90.00
Fractional positions:
1 Pm 0.500 0.267 0.256
2 Pm 0.500 0.733 0.744
3 Pm 0.000 0.257 0.752
4 Pm 0.000 0.743 0.248
5 Ga 0.500 0.500 0.000
6 Se 0.500 0.000 0.500
7 Se 0.000 0.500 0.500
8 Cl 0.000 0.000 0.000

Computed properties:
The calculation puts the total energy at -5.296 eV/atom. Its space-group type is P2/m (10). The energy relative to the elements, uncorrected comes out at -1.44 eV per atom.

---

Entry 7:
A plane-wave DFT calculation with PBE was carried out for crystalline Pm6GaSi2Cl3 at its relaxed geometry.

Lattice parameters (Å, degrees): 4.203 8.441 9.432 102.09 102.88 90.00
Fractional positions:
1 Pm 0.337 0.902 0.674
2 Pm 0.673 0.571 0.346
3 Pm 0.663 0.098 0.326
4 Pm 0.005 0.245 0.010
5 Pm 0.995 0.755 0.990
6 Pm 0.327 0.429 0.654
7 Ga 0.500 0.000 0.000
8 Si 0.834 0.666 0.667
9 Si 0.166 0.334 0.333
10 Cl 0.500 0.500 0.000
11 Cl 0.832 0.167 0.664
12 Cl 0.168 0.833 0.336

Computed properties:
The calculation puts the total energy at -5.111 eV/atom. Its space-group type is C2/m (12). The energy relative to the elements, uncorrected comes out at -1.12 eV per atom.

---

Entry 8:
A plane-wave DFT calculation with PBE was carried out for crystalline PmGaSnCl6 at its relaxed geometry.

Lattice parameters (Å, degrees): 6.751 6.751 12.941 90.00 90.00 90.00
Fractional positions:
1 Pm 0.500 0.500 0.832
2 Pm 0.000 0.000 0.332
3 Ga 0.500 0.500 0.500
4 Ga 0.000 0.000 0.000
5 Sn 0.500 0.500 0.166
6 Sn 0.000 0.000 0.666
7 Cl 0.185 0.815 0.495
8 Cl 0.815 0.185 0.495
9 Cl 0.315 0.315 0.995
10 Cl 0.685 0.685 0.995
11 Cl 0.198 0.802 0.179
12 Cl 0.802 0.198 0.179
13 Cl 0.302 0.302 0.679
14 Cl 0.698 0.698 0.679
15 Cl 0.786 0.214 0.826
16 Cl 0.214 0.786 0.826
17 Cl 0.714 0.714 0.326
18 Cl 0.286 0.286 0.326

Computed properties:
The calculation puts the total energy at -4.032 eV/atom. Its space-group type is P4_2nm (102). The energy relative to the elements, uncorrected comes out at -1.49 eV per atom.

---

Entry 9:
A plane-wave DFT calculation with PBE was carried out for crystalline Pm6GaTc2Cl3 at its relaxed geometry.

Lattice parameters (Å, degrees): 6.431 6.431 8.354 95.38 95.38 112.61
Fractional positions:
1 Pm 0.899 0.547 0.753
2 Pm 0.681 0.681 0.157
3 Pm 0.101 0.453 0.247
4 Pm 0.547 0.899 0.753
5 Pm 0.319 0.319 0.843
6 Pm 0.453 0.101 0.247
7 Ga 0.000 0.000 0.000
8 Tc 0.249 0.751 0.000
9 Tc 0.751 0.249 0.000
10 Cl 0.161 0.839 0.500
11 Cl 0.839 0.161 0.500
12 Cl 0.500 0.500 0.500

Computed properties:
The calculation puts the total energy at -5.579 eV/atom. Its space-group type is C2/m (12). The energy relative to the elements, uncorrected comes out at -0.76 eV per atom.

---

Entry 10:
A plane-wave DFT calculation with PBE was carried out for crystalline Pm3GaTeCl at its relaxed geometry.

Lattice parameters (Å, degrees): 4.202 8.878 9.904 98.60 90.00 90.00
Site moments in Bohr magnetons follow the coordinates.
Fractional positions:
1 Pm 0.750 0.810 0.112  0.00
2 Pm 0.250 0.190 0.888  0.00
3 Pm 0.250 0.644 0.400  0.18
4 Pm 0.750 0.356 0.600  0.18
5 Pm 0.750 0.338 0.203  0.08
6 Pm 0.250 0.662 0.797  0.08
7 Ga 0.250 0.545 0.087  0.01
8 Ga 0.750 0.455 0.913  0.01
9 Te 0.250 0.079 0.186  0.00
10 Te 0.750 0.921 0.814  0.00
11 Cl 0.250 0.148 0.594  0.01
12 Cl 0.750 0.852 0.406  0.01

Computed properties:
The calculation puts the total energy at -4.789 eV/atom. Its space-group type is P2_1/m (11). The energy relative to the elements, uncorrected comes out at -1.08 eV per atom.

---

Entry 11:
A plane-wave DFT calculation with PBE was carried out for crystalline Pr2Ga2Cl at its relaxed geometry.

Lattice parameters (Å, degrees): 4.230 4.230 8.274 90.02 104.79 120.01
Fractional positions:
1 Pr 0.825 0.412 0.237
2 Pr 0.175 0.588 0.763
3 Ga 0.351 0.176 0.527
4 Ga 0.649 0.824 0.473
5 Cl 0.000 0.000 0.000

Computed properties:
The calculation puts the total energy at -4.548 eV/atom. Its space-group type is R-3m (166). The energy relative to the elements, uncorrected comes out at -1.06 eV per atom.

---

Entry 12:
A plane-wave DFT calculation with PBE was carried out for crystalline Pr2GaCl at its relaxed geometry.

Lattice parameters (Å, degrees): 3.838 3.838 8.817 77.43 77.43 60.00
Fractional positions:
1 Pr 0.081 0.081 0.757
2 Pr 0.253 0.253 0.241
3 Ga 0.667 0.667 0.999
4 Cl 0.499 0.499 0.503

Computed properties:
Its excess energy over the best structure of this formula in the dataset is 99.1 meV per atom. The calculation puts the total energy at -4.586 eV/atom. Its space-group type is R3m (160). The energy relative to the elements, uncorrected comes out at -0.98 eV per atom.

---

Q: Among the records above, which one has the lowest energy relative to the elements, uncorrected?
A: Rb2PmGaCl6